The following is a GGA-PBE calculation of Li3Pa2PdS6 after structural relaxation, from Alexandria via LeMat-Bulk.

a = 3.9317 Å, b = 7.5195 Å, c = 8.4901 Å
α = 106.53°, β = 103.39°, γ = 90.00°
Each line ends with the local moment (μB).
Positions (direct):
Pa: 0.8506 0.7066 0.7013  0.55
Pa: 0.1494 0.2934 0.2987  0.55
Pd: 0.5000 0.0000 0.0000  -0.06
Li: 0.5000 0.5000 0.0000  0.00
Li: 0.8353 0.1854 0.6707  0.00
Li: 0.1647 0.8146 0.3293  0.00
S: 0.3310 0.9318 0.6620  -0.02
S: 0.9919 0.2487 0.9838  -0.02
S: 0.6709 0.5659 0.3418  -0.02
S: 0.6690 0.0682 0.3380  -0.02
S: 0.0081 0.7513 0.0162  -0.02
S: 0.3291 0.4341 0.6582  -0.02

As for the theoretical density: 5.6 g cm⁻³. For the energy relative to the elements, uncorrected, the calculation gives -1313 meV per atom. Its space-group type is No. 12. The calculation puts the total energy at -5.87 eV/atom. The value obtained for the total moment is 0.089 μB per atom.